# GGA-PBE Li2MgZnSn2Ir2, relaxed
# Total magnetic moment (μB/atom): 0.000
# Energy (eV per atom): -4.4575
data_Li2MgZnSn2Ir2
_chemical_formula_sum 'Li2 Mg1 Zn1 Sn2 Ir2'
_cell_length_a 4.489
_cell_length_b 4.489
_cell_length_c 6.355
_cell_angle_alpha 90.00
_cell_angle_beta 90.00
_cell_angle_gamma 90.00
_symmetry_space_group_name_H-M 'P -4 m 2'
_symmetry_Int_Tables_number 115
_symmetry_space_group_name_Hall 'P -4 -2'
loop_
_atom_site_label
_atom_site_type_symbol
_atom_site_fract_x
_atom_site_fract_y
_atom_site_fract_z
Li1 Li 0.000 0.500 0.238
Mg1 Mg 0.000 0.000 0.500
Zn1 Zn 0.500 0.500 0.000
Sn1 Sn 0.000 0.000 0.000
Sn2 Sn 0.500 0.500 0.500
Ir1 Ir 0.000 0.500 0.758